[1]
Computed, not measured: a geometry-optimized MnCo2TcH structure at the PBE-GGA level of DFT.

a = 3.559 Å, b = 3.559 Å, c = 3.756 Å
α = 90.00°, β = 90.00°, γ = 90.00°
Element x y z (fractional)
Mn: 0.000 0.000 0.000
Co: 0.000 0.500 0.500
Co: 0.500 0.000 0.500
Tc: 0.500 0.500 0.000
H: 0.000 0.000 0.500

## Properties
relative energy among the computed polymorphs: 0 meV per atom
V: 47.6 Å³/cell

=====

[2]
Computed, not measured: a geometry-optimized MnCo2TcH structure at the PBE-GGA level of DFT.

a = 3.543 Å, b = 3.543 Å, c = 3.835 Å
α = 90.00°, β = 90.00°, γ = 90.00°
Element x y z (fractional)
Mn: 0.000 0.000 0.000
Co: 0.000 0.500 0.500
Co: 0.500 0.000 0.500
Tc: 0.500 0.500 0.000
H: 0.500 0.500 0.500

## Properties
relative energy among the computed polymorphs: 39 meV per atom
V: 48.2 Å³/cell